No. 1
First-principles (PBEsol) data for an optimized crystal structure of Sr2Hf7O16, as listed in Alexandria via LeMat-Bulk.

Lattice parameters (Å, degrees): 9.5605 9.5605 9.5605 38.67 38.67 38.67
Atoms (fractional coordinates):
Sr  0.1663  0.1663  0.1663
Sr  0.8337  0.8337  0.8337
Hf  0.0131  0.3866  0.7539
Hf  0.2461  0.9869  0.6134
Hf  0.3866  0.7539  0.0131
Hf  0.5000  0.5000  0.5000
Hf  0.6134  0.2461  0.9869
Hf  0.7539  0.0131  0.3866
Hf  0.9869  0.6134  0.2461
O  0.0706  0.0706  0.0706
O  0.0884  0.6508  0.3510
O  0.1790  0.4625  0.7307
O  0.2637  0.2637  0.2637
O  0.2693  0.8210  0.5375
O  0.3492  0.6490  0.9116
O  0.3510  0.0884  0.6508
O  0.4625  0.7307  0.1790
O  0.5375  0.2693  0.8210
O  0.6490  0.9116  0.3492
O  0.6508  0.3510  0.0884
O  0.7307  0.1790  0.4625
O  0.7363  0.7363  0.7363
O  0.8210  0.5375  0.2693
O  0.9116  0.3492  0.6490
O  0.9294  0.9294  0.9294

Results
- uncorrected formation energy (eV/atom) = -3.54
- space group = R-3
- magnetization (Bohr magnetons per cell) = 0.0

No. 2
First-principles (PBEsol) data for an optimized crystal structure of Sr2HfO4, as listed in Alexandria via LeMat-Bulk.

Lattice parameters (Å, degrees): 5.7918 5.7918 12.4840 90.00 90.00 90.00
Atoms (fractional coordinates):
Sr  0.0146  0.0146  0.1480
Sr  0.0146  0.4854  0.6480
Sr  0.4854  0.0146  0.6480
Sr  0.4854  0.4854  0.1480
Sr  0.5146  0.5146  0.8520
Sr  0.5146  0.9854  0.3520
Sr  0.9854  0.5146  0.3520
Sr  0.9854  0.9854  0.8520
Hf  0.0000  0.0000  0.5000
Hf  0.0000  0.5000  0.0000
Hf  0.5000  0.0000  0.0000
Hf  0.5000  0.5000  0.5000
O  0.0457  0.0457  0.6637
O  0.0457  0.4543  0.1637
O  0.2500  0.2500  0.4731
O  0.2500  0.2500  0.9731
O  0.2500  0.7500  0.0000
O  0.2500  0.7500  0.5000
O  0.4543  0.0457  0.1637
O  0.4543  0.4543  0.6637
O  0.5457  0.5457  0.3363
O  0.5457  0.9543  0.8363
O  0.7500  0.2500  0.0000
O  0.7500  0.2500  0.5000
O  0.7500  0.7500  0.0269
O  0.7500  0.7500  0.5269
O  0.9543  0.5457  0.8363
O  0.9543  0.9543  0.3363

Results
- uncorrected formation energy (eV/atom) = -3.24
- space group = P4_2/ncm
- magnetization (Bohr magnetons per cell) = 0.0
- energy relative to the lowest polymorph listed for this composition (meV/atom) = 0

No. 3
First-principles (PBEsol) data for an optimized crystal structure of Sr2HfO4, as listed in Alexandria via LeMat-Bulk.

Lattice parameters (Å, degrees): 6.0153 10.1704 3.3325 90.00 90.00 90.00
Atoms (fractional coordinates):
Sr  0.0668  0.1793  0.0000
Sr  0.4332  0.6793  0.0000
Sr  0.5668  0.3207  0.0000
Sr  0.9332  0.8207  0.0000
Hf  0.0000  0.5000  0.5000
Hf  0.5000  0.0000  0.5000
O  0.1316  0.6856  0.5000
O  0.2124  0.4540  0.0000
O  0.2876  0.9540  0.0000
O  0.3684  0.1856  0.5000
O  0.6316  0.8144  0.5000
O  0.7124  0.0460  0.0000
O  0.7876  0.5460  0.0000
O  0.8684  0.3144  0.5000

Results
- uncorrected formation energy (eV/atom) = -3.21
- space group = Pbam
- magnetization (Bohr magnetons per cell) = 0.0
- energy relative to the lowest polymorph listed for this composition (meV/atom) = 37

No. 4
First-principles (PBEsol) data for an optimized crystal structure of Sr2HfO4, as listed in Alexandria via LeMat-Bulk.

Lattice parameters (Å, degrees): 6.9554 6.9554 6.9554 145.98 145.98 48.87
Atoms (fractional coordinates):
Sr  0.1471  0.1471  0.0000
Sr  0.8529  0.8529  0.0000
Hf  0.5000  0.5000  0.0000
O  0.0000  0.5000  0.5000
O  0.3356  0.3356  0.0000
O  0.5000  0.0000  0.5000
O  0.6644  0.6644  0.0000

Results
- uncorrected formation energy (eV/atom) = -3.23
- space group = I4/mmm
- magnetization (Bohr magnetons per cell) = 0.0
- energy relative to the lowest polymorph listed for this composition (meV/atom) = 14